Entry i
First-principles (GGA-PBE) data for a geometry-optimized Re5Pb structure, as listed in the Alexandria database.

abc: 5.402 5.402 6.755
angles: 104.96 104.96 31.13
Fractional positions:
1 Re 0.000 0.000 0.000
2 Re 0.043 0.043 0.629
3 Re 0.319 0.319 0.679
4 Re 0.637 0.637 0.360
5 Re 0.701 0.701 0.923
6 Pb 0.358 0.358 0.271

Values from the calculation:
Total magnetic moment ... 0.000 μB/cell

---

Entry ii
First-principles (GGA-PBE) data for a geometry-optimized Re5Pb structure, as listed in the Alexandria database.

abc: 5.242 5.242 5.242
angles: 60.00 60.00 60.00
Fractional positions:
1 Re 0.000 0.000 0.000
2 Re 0.126 0.625 0.625
3 Re 0.625 0.126 0.625
4 Re 0.625 0.625 0.126
5 Re 0.625 0.625 0.625
6 Pb 0.250 0.250 0.250

Values from the calculation:
Total magnetic moment ... 0.000 μB/cell

---

Name the least stable of them. entry ii.

---

Entry i
First-principles (GGA-PBE) data for a geometry-optimized RePb4 structure, as listed in the Alexandria database.

abc: 9.302 9.302 9.302
angles: 154.06 154.06 37.02
Fractional positions:
1 Re 0.000 0.000 0.000
2 Pb 0.250 0.750 0.500
3 Pb 0.414 0.414 0.000
4 Pb 0.586 0.586 0.000
5 Pb 0.750 0.250 0.500

Values from the calculation:
Total magnetic moment ... 3.093 μB/cell

---

Entry ii
First-principles (GGA-PBE) data for a geometry-optimized RePb4 structure, as listed in the Alexandria database.

abc: 5.763 5.763 5.763
angles: 109.47 109.47 109.47
Fractional positions:
1 Re 0.000 0.000 0.000
2 Pb 0.000 0.000 0.500
3 Pb 0.000 0.500 0.000
4 Pb 0.500 0.000 0.000
5 Pb 0.500 0.500 0.500

Values from the calculation:
Total magnetic moment ... 0.398 μB/cell

---

Entry iii
First-principles (GGA-PBE) data for a geometry-optimized RePb4 structure, as listed in the Alexandria database.

abc: 5.391 5.391 5.391
angles: 90.00 90.00 90.00
Fractional positions:
1 Re 0.000 0.000 0.000
2 Pb 0.000 0.000 0.500
3 Pb 0.000 0.500 0.000
4 Pb 0.500 0.000 0.000
5 Pb 0.500 0.500 0.500

Values from the calculation:
Total magnetic moment ... 0.897 μB/cell

---

Entry iv
First-principles (GGA-PBE) data for a geometry-optimized RePb4 structure, as listed in the Alexandria database.

abc: 5.630 5.630 5.630
angles: 102.70 102.70 124.08
Fractional positions:
1 Re 0.000 0.000 0.000
2 Pb 0.200 0.367 0.567
3 Pb 0.367 0.800 0.168
4 Pb 0.633 0.200 0.832
5 Pb 0.800 0.633 0.433

Values from the calculation:
Total magnetic moment ... 0.644 μB/cell

---

Name the least stable of them. entry i.

---

Entry i
First-principles (GGA-PBE) data for a geometry-optimized Re5Pb3 structure, as listed in the Alexandria database.

abc: 4.923 9.057 9.089
angles: 65.91 75.63 75.19
Fractional positions:
1 Re 0.000 0.000 0.000
2 Re 0.032 0.265 0.096
3 Re 0.137 0.338 0.317
4 Re 0.279 0.040 0.371
5 Re 0.319 0.421 0.823
6 Re 0.461 0.123 0.877
7 Re 0.565 0.197 0.098
8 Re 0.598 0.461 0.194
9 Re 0.707 0.507 0.902
10 Re 0.890 0.954 0.292
11 Pb 0.098 0.656 0.011
12 Pb 0.110 0.653 0.535
13 Pb 0.486 0.810 0.661
14 Pb 0.499 0.805 0.184
15 Pb 0.637 0.169 0.511
16 Pb 0.961 0.293 0.683

Values from the calculation:
Total magnetic moment ... 0.000 μB/cell

---

Entry ii
First-principles (GGA-PBE) data for a geometry-optimized Re5Pb3 structure, as listed in the Alexandria database.

abc: 8.505 8.505 5.128
angles: 90.00 90.00 120.00
Fractional positions:
1 Re 0.000 0.166 0.250
2 Re 0.000 0.834 0.750
3 Re 0.166 0.000 0.250
4 Re 0.166 0.166 0.750
5 Re 0.333 0.667 0.000
6 Re 0.333 0.667 0.500
7 Re 0.667 0.333 0.000
8 Re 0.667 0.333 0.500
9 Re 0.834 0.000 0.750
10 Re 0.834 0.834 0.250
11 Pb 0.000 0.389 0.750
12 Pb 0.000 0.611 0.250
13 Pb 0.389 0.000 0.750
14 Pb 0.389 0.389 0.250
15 Pb 0.611 0.000 0.250
16 Pb 0.611 0.611 0.750

Values from the calculation:
Total magnetic moment ... 0.001 μB/cell

---

Name the least stable of them. entry ii.